Computed, not measured: NaFeCo after structural relaxation at the PBE-GGA level of DFT.

Its total energy is -5.35 eV/atom. The value obtained for the total moment is 8.34 μB/cell. Its space-group type is No. 11.

Cell lengths 2.927, 2.925, 11.573 Å; angles 90.00, 90.24, 90.00 degrees
Fractional positions:
Na  0.246  0.250  0.140
Na  0.754  0.750  0.860
Fe  0.249  0.250  0.434
Fe  0.751  0.750  0.566
Co  0.253  0.250  0.668
Co  0.747  0.750  0.332